This record from the Alexandria database describes LiBi2Pd2 after structural relaxation. The functional is PBE-GGA.

- Density of states at the Fermi level: 2.43 states/eV per cell
- Crystal system: tetragonal
- Polymorph energy (0 for the lowest one): 0.190 eV per atom
- SG: I4/mmm

Cell: 5.4550 5.4550 5.5081 Å, 60.32 60.32 90.00°
With the nearest neighbours (Å) after each atom.
Element x y z (fractional)
Bi1 0.7500 0.2500 0.5000  4 Pd 2.80
Bi2 0.2500 0.7500 0.5000  4 Pd 2.80
Pd1 0.3329 0.3329 0.3343  1 Li 2.62, 1 Pd 2.63, 4 Bi 2.80
Pd2 0.6671 0.6671 0.6657  1 Li 2.62, 1 Pd 2.63, 4 Bi 2.80
Li1 0.0000 0.0000 0.0000  2 Pd 2.62


This record from the Alexandria database describes LiBiPd5 after structural relaxation. The functional is PBE-GGA.

- Density of states at the Fermi level: 6.61 states/eV per cell
- Crystal system: orthorhombic
- Calculated total energy: -29.5 eV per cell
- SG: Imm2

Cell: 5.6288 7.1137 6.3267 Å, 124.21 116.41 90.00°
With the nearest neighbours (Å) after each atom.
Element x y z (fractional)
Li1 0.3999 0.0000 0.0000  4 Pd 2.97-3.26
Bi1 0.6064 0.5000 0.0000  6 Pd 2.65-2.83
Pd1 0.0928 0.2531 0.5062  3 Pd 2.55-2.60, 1 Bi 2.65
Pd2 0.1033 0.5000 0.0000  4 Pd 2.55-2.58, 2 Bi 2.80-2.83
Pd3 0.5866 0.7469 0.4938  3 Pd 2.55-2.60, 1 Bi 2.65
Pd4 0.8708 0.1869 0.0000  4 Pd 2.58-2.66, 1 Bi 2.68
Pd5 0.8708 0.8131 0.0000  4 Pd 2.58-2.66, 1 Bi 2.68


This record from the Alexandria database describes Li3Bi2Pd5 after structural relaxation. The functional is PBE-GGA.

- Density of states at the Fermi level: 11.50 states/eV per cell
- Crystal system: monoclinic
- Calculated total energy: -85.2 eV per cell
- SG: C2/c

Cell: 5.4276 9.7255 9.7255 Å, 86.73 58.77 58.77°
With the nearest neighbours (Å) after each atom.
Element x y z (fractional)
Li1 0.2500 0.9715 0.0285  4 Bi 2.78-2.92, 2 Li 2.82, 4 Pd 2.89-3.02
Li2 0.7500 0.0285 0.9715  4 Bi 2.78-2.92, 2 Li 2.82, 4 Pd 2.89-3.02
Li3 0.3674 0.3941 0.8386  5 Pd 2.73-3.04, 2 Li 2.93-3.04, 1 Bi 2.97
Li4 0.6326 0.6059 0.1614  5 Pd 2.73-3.04, 2 Li 2.93-3.04, 1 Bi 2.97
Li5 0.8674 0.8386 0.3941  5 Pd 2.73-3.04, 2 Li 2.93-3.04, 1 Bi 2.97
Li6 0.1326 0.1614 0.6059  5 Pd 2.73-3.04, 2 Li 2.93-3.04, 1 Bi 2.97
Bi1 0.1856 0.7089 0.0082  4 Pd 2.71-2.84, 3 Li 2.78-2.97
Bi2 0.8144 0.2911 0.9918  4 Pd 2.71-2.84, 3 Li 2.78-2.97
Bi3 0.6856 0.0082 0.7089  4 Pd 2.71-2.84, 3 Li 2.78-2.97
Bi4 0.3144 0.9918 0.2911  4 Pd 2.71-2.84, 3 Li 2.78-2.97
Pd1 0.2500 0.5340 0.4660  10 Pd 2.77-2.90, 2 Li 2.91
Pd2 0.7500 0.4660 0.5340  10 Pd 2.77-2.90, 2 Li 2.91
Pd3 0.5264 0.7832 0.7061  2 Bi 2.74-2.84, 6 Pd 2.77-2.90, 3 Li 2.82-3.02
Pd4 0.9736 0.2939 0.2168  2 Bi 2.74-2.84, 6 Pd 2.77-2.90, 3 Li 2.82-3.02
Pd5 0.4736 0.2168 0.2939  2 Bi 2.74-2.84, 6 Pd 2.77-2.90, 3 Li 2.82-3.02
Pd6 0.0264 0.7061 0.7832  2 Bi 2.74-2.84, 6 Pd 2.77-2.90, 3 Li 2.82-3.02
Pd7 0.1078 0.5297 0.2319  2 Bi 2.71-2.77, 2 Li 2.73-2.75, 5 Pd 2.77-2.89
Pd8 0.8922 0.4703 0.7681  2 Bi 2.71-2.77, 2 Li 2.73-2.75, 5 Pd 2.77-2.89
Pd9 0.6078 0.2319 0.5297  2 Bi 2.71-2.77, 2 Li 2.73-2.75, 5 Pd 2.77-2.89
Pd10 0.3922 0.7681 0.4703  2 Bi 2.71-2.77, 2 Li 2.73-2.75, 5 Pd 2.77-2.89


This record from the Alexandria database describes Li7BiPd4 after structural relaxation. The functional is PBE-GGA.

- Density of states at the Fermi level: 3.22 states/eV per cell
- Crystal system: monoclinic
- Calculated total energy: -40.8 eV per cell
- SG: C2/m

Cell: 4.8225 8.4342 5.4387 Å, 84.36 63.68 73.39°
With the nearest neighbours (Å) after each atom.
Element x y z (fractional)
Li1 0.7797 0.9098 0.5308  2 Li 2.38-2.51, 2 Pd 2.52-2.54
Li2 0.2203 0.0902 0.4692  2 Li 2.38-2.51, 2 Pd 2.52-2.54
Li3 0.0384 0.6289 0.2943  2 Li 2.51-2.60, 3 Pd 2.69-2.77
Li4 0.9616 0.3711 0.7057  2 Li 2.51-2.60, 3 Pd 2.69-2.77
Li5 0.3381 0.5503 0.7734  4 Pd 2.48-2.71, 2 Li 2.60-2.76
Li6 0.5000 0.0000 0.0000  2 Li 2.38, 2 Bi 2.41, 2 Pd 2.55
Li7 0.6619 0.4497 0.2266  4 Pd 2.48-2.71, 2 Li 2.60-2.76
Bi1 0.0000 0.0000 0.0000  2 Li 2.41
Pd1 0.6074 0.2245 0.5606  6 Li 2.48-2.77, 1 Pd 2.77
Pd2 0.3926 0.7755 0.4394  6 Li 2.48-2.77, 1 Pd 2.77
Pd3 0.7130 0.6899 0.8841  6 Li 2.52-2.71, 1 Pd 2.77
Pd4 0.2870 0.3101 0.1159  6 Li 2.52-2.71, 1 Pd 2.77


This record from the Alexandria database describes LiBi3Pd6 after structural relaxation. The functional is PBE-GGA.

- Density of states at the Fermi level: 8.27 states/eV per cell
- Crystal system: orthorhombic
- Calculated total energy: -94.4 eV per cell
- SG: Cmc2_1

Cell: 5.0971 8.6459 8.6459 Å, 98.57 90.00 90.00°
With the nearest neighbours (Å) after each atom.
Element x y z (fractional)
Li1 0.1232 0.1614 0.8386  4 Pd 2.48-2.71, 1 Bi 2.74
Li2 0.6232 0.8386 0.1614  4 Pd 2.48-2.71, 1 Bi 2.74
Bi1 0.4422 0.9075 0.7050  8 Pd 2.79-3.12, 1 Li 2.84
Bi2 0.9422 0.7050 0.9075  8 Pd 2.79-3.12, 1 Li 2.84
Bi3 0.1097 0.3705 0.6295  1 Li 2.74, 6 Pd 2.79-3.03
Bi4 0.6097 0.6295 0.3705  1 Li 2.74, 6 Pd 2.79-3.03
Bi5 0.9422 0.0925 0.2950  8 Pd 2.79-3.12, 1 Li 2.84
Bi6 0.4422 0.2950 0.0925  8 Pd 2.79-3.12, 1 Li 2.84
Pd1 0.0661 0.6797 0.5749  5 Pd 2.77-2.92, 4 Bi 2.79-2.92
Pd2 0.5661 0.5749 0.6797  5 Pd 2.77-2.92, 4 Bi 2.79-2.92
Pd3 0.4301 0.5874 0.9918  1 Li 2.62, 2 Pd 2.77-2.92, 3 Bi 2.79-2.93
Pd4 0.9301 0.9918 0.5874  1 Li 2.62, 2 Pd 2.77-2.92, 3 Bi 2.79-2.93
Pd5 0.2508 0.9605 0.0395  2 Li 2.48-2.71, 2 Pd 2.75
Pd6 0.6249 0.2552 0.7448  2 Li 2.82-2.84, 4 Bi 2.90-3.12, 5 Pd 2.90-2.92
Pd7 0.1249 0.7448 0.2552  2 Li 2.82-2.84, 4 Bi 2.90-3.12, 5 Pd 2.90-2.92
Pd8 0.7508 0.0395 0.9605  2 Li 2.48-2.71, 2 Pd 2.75
Pd9 0.4301 0.0082 0.4126  1 Li 2.62, 2 Pd 2.77-2.92, 3 Bi 2.79-2.93
Pd10 0.9301 0.4126 0.0082  1 Li 2.62, 2 Pd 2.77-2.92, 3 Bi 2.79-2.93
Pd11 0.0661 0.4251 0.3203  5 Pd 2.77-2.92, 4 Bi 2.79-2.92
Pd12 0.5661 0.3203 0.4251  5 Pd 2.77-2.92, 4 Bi 2.79-2.92


This record from the Alexandria database describes LiBi3Pd2 after structural relaxation. The functional is PBE-GGA.

- Density of states at the Fermi level: 4.49 states/eV per cell
- Crystal system: orthorhombic
- Polymorph energy (0 for the lowest one): 0.000 eV per atom
- SG: Pmc2_1

Cell: 4.3542 7.5111 8.7605 Å, 90.00 90.00 90.00°
With the nearest neighbours (Å) after each atom.
Element x y z (fractional)
Li1 0.5000 0.5152 0.5916  3 Pd 2.78-3.08
Li2 0.5000 0.0152 0.4084  3 Pd 2.78-3.08
Bi1 0.0000 0.5084 0.8683  3 Pd 2.76-2.86
Bi2 0.0000 0.0084 0.1317  3 Pd 2.76-2.86
Bi3 0.5000 0.6312 0.1538  4 Pd 2.85-2.94
Bi4 0.5000 0.1312 0.8462  4 Pd 2.85-2.94
Bi5 0.0000 0.3566 0.3611  4 Pd 2.75-2.88
Bi6 0.0000 0.8566 0.6389  4 Pd 2.75-2.88
Pd1 0.5000 0.7526 0.8344  1 Li 2.78, 6 Bi 2.85-2.94
Pd2 0.5000 0.2526 0.1656  1 Li 2.78, 6 Bi 2.85-2.94
Pd3 0.0000 0.2361 0.6572  5 Bi 2.75-2.86, 2 Li 3.08
Pd4 0.0000 0.7361 0.3428  5 Bi 2.75-2.86, 2 Li 3.08


This record from the Alexandria database describes Li3BiPd7 after structural relaxation. The functional is PBE-GGA.

- Density of states at the Fermi level: 6.09 states/eV per cell
- Crystal system: monoclinic
- Calculated total energy: -48.3 eV per cell
- SG: C2/m

Cell: 5.1512 6.0037 6.0037 Å, 84.57 94.16 94.16°
With the nearest neighbours (Å) after each atom.
Element x y z (fractional)
Li1 0.0000 0.8142 0.1858  7 Pd 2.54-2.77
Li2 0.5000 0.0000 0.0000  6 Pd 2.56-2.77
Li3 0.0000 0.1858 0.8142  7 Pd 2.54-2.77
Bi1 0.5000 0.5000 0.5000  4 Pd 2.58-2.75
Pd1 0.2149 0.2210 0.2210  3 Li 2.56-2.63, 5 Pd 2.70-2.83, 1 Bi 2.75
Pd2 0.2608 0.9225 0.5841  3 Li 2.68-2.77, 6 Pd 2.70-2.98, 1 Bi 3.00
Pd3 0.7392 0.4159 0.0775  3 Li 2.68-2.77, 6 Pd 2.70-2.98, 1 Bi 3.00
Pd4 0.2608 0.5841 0.9225  3 Li 2.68-2.77, 6 Pd 2.70-2.98, 1 Bi 3.00
Pd5 0.0000 0.5000 0.5000  2 Li 2.54, 2 Bi 2.58, 2 Pd 2.81
Pd6 0.7392 0.0775 0.4159  3 Li 2.68-2.77, 6 Pd 2.70-2.98, 1 Bi 3.00
Pd7 0.7851 0.7790 0.7790  3 Li 2.56-2.63, 5 Pd 2.70-2.83, 1 Bi 2.75


This record from the Alexandria database describes Li2BiPd6 after structural relaxation. The functional is PBE-GGA.

- Density of states at the Fermi level: 3.99 states/eV per cell
- Crystal system: monoclinic
- Polymorph energy (0 for the lowest one): 0.091 eV per atom
- SG: C2/m

Cell: 6.8441 4.9521 4.9521 Å, 70.12 71.12 71.12°
With the nearest neighbours (Å) after each atom.
Element x y z (fractional)
Li1 0.8918 0.6561 0.6561  1 Li 2.37, 3 Pd 2.53-2.56
Li2 0.1082 0.3439 0.3439  1 Li 2.37, 3 Pd 2.53-2.56
Bi1 0.0000 0.0000 0.0000  4 Pd 2.68
Pd1 0.2786 0.3390 0.8101  2 Li 2.53-2.80, 1 Bi 2.68, 4 Pd 2.68-2.81
Pd2 0.4864 0.7604 0.7604  1 Li 2.56, 6 Pd 2.79-2.85
Pd3 0.2786 0.8101 0.3390  2 Li 2.53-2.80, 1 Bi 2.68, 4 Pd 2.68-2.81
Pd4 0.7214 0.6610 0.1899  2 Li 2.53-2.80, 1 Bi 2.68, 4 Pd 2.68-2.81
Pd5 0.5136 0.2396 0.2396  1 Li 2.56, 6 Pd 2.79-2.85
Pd6 0.7214 0.1899 0.6610  2 Li 2.53-2.80, 1 Bi 2.68, 4 Pd 2.68-2.81


> Look up the density of states at the Fermi level of the fourth one.

3.22 states/eV per cell


> The highest density of states at the Fermi level belongs to which entry?

Li3Bi2Pd5